The following is a GGA-PBE calculation of a geometry-optimized BaHoCl5 structure, from Alexandria via LeMat-Bulk.

Calculated values
Its symmetry is No. 15.

Cell and atoms, written as POSCAR:
```
BaHoCl5
1.0
2.780 -9.660 0.000
2.780 9.660 0.000
-0.367 0.000 6.850
Ba Ho Cl
2 2 10
Cartesian
2.505 6.348 5.137
2.688 -6.348 1.712
2.505 1.469 5.137
2.688 -1.469 1.712
2.688 7.223 1.712
1.292 0.595 2.781
1.109 -0.595 6.206
2.371 3.597 6.846
2.639 3.597 3.429
2.554 -3.597 3.421
2.822 -3.597 0.004
4.084 0.595 0.644
3.901 -0.595 4.069
2.505 -7.223 5.137
```

---

The following is a GGA-PBE calculation of a geometry-optimized BaHoInCl6 structure, from Alexandria via LeMat-Bulk.

Calculated values
Its symmetry is No. 163.

Cell and atoms, written as POSCAR:
```
BaHoInCl6
1.0
7.644 0.000 0.000
-3.822 6.620 0.000
0.000 0.000 12.844
Ba Ho In Cl
2 2 2 12
Cartesian
0.000 4.413 3.211
3.822 2.207 9.633
0.000 4.413 9.633
3.822 2.207 3.211
0.000 0.000 0.000
0.000 0.000 6.422
-1.133 2.548 8.135
-2.182 4.365 11.131
1.133 2.548 11.131
-1.049 6.327 8.135
2.773 0.293 1.713
1.640 2.255 4.709
2.182 4.365 8.135
1.049 6.327 11.131
4.871 0.293 4.709
2.689 4.072 1.713
6.003 2.255 1.713
4.955 4.072 4.709
```

---

The following is a GGA-PBE calculation of a geometry-optimized BaLiHoCl6 structure, from Alexandria via LeMat-Bulk.

Calculated values
Its symmetry is No. 163.

Cell and atoms, written as POSCAR:
```
BaLiHoCl6
1.0
6.819 0.000 0.000
-3.410 5.906 0.000
0.000 0.000 13.433
Ba Li Ho Cl
2 2 2 12
Cartesian
0.000 0.000 0.000
0.000 0.000 6.717
0.000 3.937 3.358
3.410 1.968 10.075
0.000 3.937 10.075
3.410 1.968 3.358
-1.240 2.171 1.868
-2.150 3.746 4.849
1.240 2.171 4.849
-0.910 5.894 1.868
2.500 0.012 8.585
1.260 2.159 11.565
2.150 3.746 1.868
0.910 5.894 4.849
4.319 0.012 11.565
2.170 3.735 8.585
5.559 2.159 8.585
4.649 3.735 11.565
```

---

The following is a GGA-PBE calculation of a geometry-optimized BaNaHoCl6 structure, from Alexandria via LeMat-Bulk.

Calculated values
Its symmetry is No. 163.

Cell and atoms, written as POSCAR:
```
BaNaHoCl6
1.0
7.117 0.000 0.000
-3.559 6.164 0.000
0.000 0.000 13.188
Ba Na Ho Cl
2 2 2 12
Cartesian
0.000 0.000 0.000
0.000 0.000 6.594
0.000 4.109 3.297
3.559 2.055 9.891
0.000 4.109 9.891
3.559 2.055 3.297
-1.168 2.275 8.387
-2.172 4.015 11.396
1.168 2.275 11.396
-1.005 6.038 8.387
2.554 0.126 1.792
1.386 2.149 4.802
2.172 4.015 8.387
1.005 6.038 11.396
4.563 0.126 4.802
2.391 3.889 1.792
5.731 2.149 1.792
4.726 3.889 4.802
```

---

The following is a GGA-PBE calculation of a geometry-optimized Ba2HoCl2O2 structure, from Alexandria via LeMat-Bulk.

Calculated values
Its symmetry is No. 139.

Cell and atoms, written as POSCAR:
```
Ba2HoCl2O2
1.0
4.507 0.000 0.000
0.000 4.507 0.000
0.000 0.000 16.036
Ba Ho Cl O
4 2 4 4
Cartesian
0.000 0.000 1.901
0.000 0.000 14.135
2.253 2.253 6.117
2.253 2.253 9.919
0.000 0.000 8.018
2.253 2.253 0.000
0.000 0.000 5.188
0.000 0.000 10.848
2.253 2.253 2.830
2.253 2.253 13.207
0.000 2.253 0.000
0.000 2.253 8.018
2.253 0.000 0.000
2.253 0.000 8.018
```

---

The following is a GGA-PBE calculation of a geometry-optimized RbBa2HoCl8 structure, from Alexandria via LeMat-Bulk.

Calculated values
Its symmetry is No. 10.

Cell and atoms, written as POSCAR:
```
RbBa2HoCl8
1.0
6.856 0.000 0.000
0.000 9.587 0.000
-0.002 0.000 6.917
Rb Ba Ho Cl
1 2 1 8
Cartesian
0.000 0.000 0.000
3.427 2.465 3.458
3.427 7.121 3.458
0.000 4.793 0.000
1.374 2.873 1.174
1.374 6.714 1.174
1.780 4.793 4.890
2.001 0.000 4.495
4.853 0.000 2.422
5.074 4.793 2.027
5.480 2.873 5.743
5.480 6.714 5.743
```

---

The following is a GGA-PBE calculation of a geometry-optimized BaHoTe2Cl structure, from Alexandria via LeMat-Bulk.

Calculated values
Its symmetry is No. 11.

Cell and atoms, written as POSCAR:
```
BaHoTe2Cl
1.0
8.968 0.000 0.000
0.000 4.479 0.000
-2.420 0.000 9.126
Ba Ho Te Cl
2 2 4 2
Cartesian
1.322 1.120 2.890
5.226 3.359 6.236
0.978 1.120 7.546
5.569 3.359 1.580
2.685 3.359 0.458
1.727 3.359 5.607
4.820 1.120 3.519
3.863 1.120 8.668
-1.545 1.120 6.662
8.093 3.359 2.463
```

---

The following is a GGA-PBE calculation of a geometry-optimized BaHoTlCl6 structure, from Alexandria via LeMat-Bulk.

Calculated values
Its symmetry is No. 163.

Cell and atoms, written as POSCAR:
```
BaHoTlCl6
1.0
7.649 0.000 0.000
-3.825 6.625 0.000
0.000 0.000 12.968
Ba Ho Tl Cl
2 2 2 12
Cartesian
0.000 4.416 3.242
3.825 2.208 9.726
0.000 4.416 9.726
3.825 2.208 3.242
0.000 0.000 0.000
0.000 0.000 6.484
-1.140 2.558 8.225
-2.179 4.358 11.227
1.140 2.558 11.227
-1.039 6.333 8.225
2.786 0.292 1.741
1.645 2.267 4.743
2.179 4.358 8.225
1.039 6.333 11.227
4.864 0.292 4.743
2.684 4.066 1.741
6.004 2.267 1.741
4.965 4.066 4.743
```

---

The following is a GGA-PBE calculation of a geometry-optimized Ba7I2Cl12 structure, from Alexandria via LeMat-Bulk.

Calculated values
Its symmetry is No. 174.

Cell and atoms, written as POSCAR:
```
Ba7I2Cl12
1.0
12.738 0.000 0.000
-6.369 11.032 0.000
0.000 0.000 4.884
Ba I Cl
7 2 12
Cartesian
0.000 0.000 0.000
-1.079 4.466 2.442
-1.962 9.734 2.442
3.383 3.285 0.000
3.041 7.864 2.442
8.202 1.288 0.000
7.522 6.459 0.000
0.000 7.355 0.000
6.369 3.677 2.442
-3.251 6.744 2.442
-3.858 9.263 0.000
0.277 3.059 0.000
2.175 1.047 2.442
2.154 4.844 2.442
5.102 0.679 0.000
1.097 10.476 2.442
4.406 6.274 0.000
3.582 9.742 0.000
6.188 8.625 2.442
10.745 1.360 2.442
9.600 4.079 0.000
```

---

The following is a GGA-PBE calculation of a geometry-optimized Ba3ICl structure, from Alexandria via LeMat-Bulk.

Calculated values
Its symmetry is No. 221. The energy relative to the lowest polymorph listed for this composition comes out at 0 meV/atom.

Cell and atoms, written as POSCAR:
```
Ba3ICl
1.0
6.182 0.000 0.000
0.000 6.182 0.000
0.000 0.000 6.182
Ba I Cl
3 1 1
Cartesian
0.000 0.000 3.091
0.000 3.091 0.000
3.091 0.000 0.000
3.091 3.091 3.091
0.000 0.000 0.000
```

---

The following is a GGA-PBE calculation of a geometry-optimized BaICl4 structure, from Alexandria via LeMat-Bulk.

Calculated values
Its symmetry is No. 15.

Cell and atoms, written as POSCAR:
```
BaICl4
1.0
4.740 -7.192 0.000
4.740 7.192 0.000
-4.117 0.000 6.402
Ba I Cl
2 2 8
Cartesian
1.652 4.927 4.801
3.711 -4.927 1.600
3.711 0.989 1.600
1.652 -0.989 4.801
1.802 3.427 2.116
1.445 0.253 0.667
-0.613 -0.253 3.868
5.620 3.427 1.085
-0.257 -3.427 5.317
5.976 0.253 2.534
3.918 -0.253 5.735
3.561 -3.427 4.286
```

---

The following is a GGA-PBE calculation of a geometry-optimized BaI2Cl structure, from Alexandria via LeMat-Bulk.

Calculated values
Its symmetry is No. 225. The energy relative to the lowest polymorph listed for this composition comes out at 120 meV/atom.

Cell and atoms, written as POSCAR:
```
BaI2Cl
1.0
8.416 0.000 0.000
0.000 8.416 0.000
0.000 0.000 8.416
Ba I Cl
4 8 4
Cartesian
0.000 0.000 0.000
0.000 4.208 4.208
4.208 0.000 4.208
4.208 4.208 0.000
2.104 2.104 2.104
2.104 2.104 6.312
2.104 6.312 2.104
2.104 6.312 6.312
6.312 2.104 2.104
6.312 2.104 6.312
6.312 6.312 2.104
6.312 6.312 6.312
0.000 0.000 4.208
0.000 4.208 0.000
4.208 0.000 0.000
4.208 4.208 4.208
```

---

The following is a GGA-PBE calculation of a geometry-optimized Ba2ICl structure, from Alexandria via LeMat-Bulk.

Calculated values
Its symmetry is No. 166. The energy relative to the lowest polymorph listed for this composition comes out at 0 meV/atom.

Cell and atoms, written as POSCAR:
```
Ba2ICl
1.0
4.638 0.000 0.000
-2.319 4.016 0.000
0.000 0.000 24.783
Ba I Cl
6 3 3
Cartesian
0.000 0.000 5.859
0.000 0.000 18.924
0.000 2.678 10.663
0.000 2.678 22.381
2.319 1.339 2.402
2.319 1.339 14.120
0.000 0.000 0.000
0.000 2.678 16.522
2.319 1.339 8.261
0.000 0.000 12.391
0.000 2.678 4.131
2.319 1.339 20.652
```

---

The following is a GGA-PBE calculation of a geometry-optimized BaI3Cl structure, from Alexandria via LeMat-Bulk.

Calculated values
Its symmetry is No. 221. The energy relative to the lowest polymorph listed for this composition comes out at 0 meV/atom.

Cell and atoms, written as POSCAR:
```
BaI3Cl
1.0
5.919 0.000 0.000
0.000 5.919 0.000
0.000 0.000 5.919
Ba I Cl
1 3 1
Cartesian
0.000 0.000 0.000
0.000 2.959 2.959
2.959 0.000 2.959
2.959 2.959 0.000
2.959 2.959 2.959
```

---

The following is a GGA-PBE calculation of a geometry-optimized BaI3Cl structure, from Alexandria via LeMat-Bulk.

Calculated values
Its symmetry is No. 221. The energy relative to the lowest polymorph listed for this composition comes out at 96 meV/atom.

Cell and atoms, written as POSCAR:
```
BaI3Cl
1.0
6.829 0.000 0.000
0.000 6.829 0.000
0.000 0.000 6.829
Ba I Cl
1 3 1
Cartesian
0.000 0.000 0.000
0.000 0.000 3.414
0.000 3.414 0.000
3.414 0.000 0.000
3.414 3.414 3.414
```

---

The following is a GGA-PBE calculation of a geometry-optimized Ba2ICl structure, from Alexandria via LeMat-Bulk.

Calculated values
Its symmetry is No. 225. The energy relative to the lowest polymorph listed for this composition comes out at 189 meV/atom.

Cell and atoms, written as POSCAR:
```
Ba2ICl
1.0
8.288 0.000 0.000
0.000 8.288 0.000
0.000 0.000 8.288
Ba I Cl
8 4 4
Cartesian
2.072 2.072 2.072
2.072 2.072 6.216
2.072 6.216 2.072
2.072 6.216 6.216
6.216 2.072 2.072
6.216 2.072 6.216
6.216 6.216 2.072
6.216 6.216 6.216
0.000 0.000 0.000
0.000 4.144 4.144
4.144 0.000 4.144
4.144 4.144 0.000
0.000 0.000 4.144
0.000 4.144 0.000
4.144 0.000 0.000
4.144 4.144 4.144
```

---

The following is a GGA-PBE calculation of a geometry-optimized Ba5I12Cl3 structure, from Alexandria via LeMat-Bulk.

Calculated values
Its symmetry is No. 230.

Cell and atoms, written as POSCAR:
```
Ba5I12Cl3
1.0
-10.290 10.290 10.290
10.290 -10.290 10.290
10.290 10.290 -10.290
Ba I Cl
20 48 12
Cartesian
0.000 0.000 0.000
5.145 5.145 -5.145
5.145 -5.145 5.145
10.290 0.000 0.000
15.436 2.573 0.000
10.290 -5.145 7.718
7.718 10.290 -5.145
7.718 0.000 5.145
5.145 7.718 0.000
10.290 5.145 2.573
-5.145 5.145 5.145
0.000 10.290 0.000
0.000 0.000 10.290
5.145 5.145 5.145
0.000 5.145 7.718
5.145 2.573 10.290
2.573 10.290 5.145
2.573 0.000 15.436
0.000 15.436 2.573
-5.145 7.718 10.290
2.936 -0.702 1.700
12.500 6.845 -5.847
9.589 -1.700 2.936
16.137 -2.210 3.445
1.700 2.936 -0.702
13.736 4.444 -2.210
13.226 0.702 1.700
12.500 -3.445 5.847
6.845 5.847 -2.210
8.591 2.936 0.702
-0.702 1.700 2.936
5.847 -2.210 6.845
9.589 8.591 -2.936
5.847 2.210 3.445
8.591 -2.936 9.589
6.845 -5.847 12.500
2.936 9.589 -1.700
12.500 3.445 4.444
3.445 5.847 2.210
11.990 7.355 0.702
5.847 12.500 -3.445
9.589 1.700 7.355
2.210 3.445 5.847
2.936 0.702 8.591
7.355 9.589 1.700
8.081 6.845 4.444
0.702 8.591 2.936
4.444 -2.210 13.736
-1.700 2.936 9.589
6.845 4.444 8.081
-2.210 6.845 5.847
7.355 0.702 11.990
3.445 16.137 -2.210
1.700 13.226 0.702
4.444 8.081 6.845
0.702 1.700 13.226
4.444 12.500 3.445
10.992 8.591 7.355
1.700 7.355 9.589
3.445 4.444 12.500
-2.210 13.736 4.444
-2.936 9.589 8.591
-3.445 5.847 12.500
8.591 7.355 10.992
-5.847 12.500 6.845
0.702 11.990 7.355
-2.210 3.445 16.137
7.355 10.992 8.591
5.145 2.573 0.000
10.290 5.145 -2.573
2.573 0.000 5.145
12.863 0.000 5.145
0.000 5.145 2.573
5.145 -2.573 10.290
5.145 12.863 0.000
10.290 5.145 7.718
-2.573 10.290 5.145
7.718 10.290 5.145
0.000 5.145 12.863
5.145 7.718 10.290
```

---

The following is a GGA-PBE calculation of a geometry-optimized BaI2Cl structure, from Alexandria via LeMat-Bulk.

Calculated values
Its symmetry is No. 122. The energy relative to the lowest polymorph listed for this composition comes out at 0 meV/atom.

Cell and atoms, written as POSCAR:
```
BaI2Cl
1.0
4.888 0.000 0.000
0.000 4.888 0.000
0.000 0.000 26.024
Ba I Cl
4 8 4
Cartesian
0.000 0.000 0.000
0.000 2.444 6.506
2.444 0.000 19.518
2.444 2.444 13.012
1.204 1.222 3.253
1.222 3.648 9.759
1.222 3.684 22.771
1.240 1.222 16.265
3.648 3.666 16.265
3.666 1.204 22.771
3.666 1.240 9.759
3.684 3.666 3.253
0.000 0.000 13.012
0.000 2.444 19.518
2.444 0.000 6.506
2.444 2.444 0.000
```

---

Result set for ΔE_f (raw): -16.5; -18.3; -20.3; -20.4; -17.7; -28.0; -9.1; -18.8; -51.2; -4.2; -7.1; -4.7; -6.1; -3.3; -2.8; -5.3; -19.9; -5.1 eV per formula unit, one per record in the order listed.
Result set for calculated volume: 26.28; 36.11; 30.05; 32.14; 23.27; 37.89; 36.65; 36.51; 32.68; 47.26; 36.37; 37.26; 38.47; 41.47; 63.69; 35.59; 54.48; 38.86 Å³/atom, one per record in the order listed.
Result set for magnetic moment: 0.000; 0.000; 0.000; 0.000; 1.059; 0.166; 0.000; 0.000; 0.003; 3.201; 2.031; 4.000; 0.000; 0.000; 2.000; 5.570; 21.245; 0.000 μB per cell, one per record in the order listed.